1.
# Ta2AlH4 | Alexandria via LeMat-Bulk | PBE-GGA | optimized geometry
data_Ta2AlH4
_chemical_formula_sum 'Ta8 Al4 H16'
_symmetry_space_group_name_H-M 'I 41/a m d'
_symmetry_Int_Tables_number 141
_cell_length_a 6.3760
_cell_length_b 6.3760
_cell_length_c 6.8084
_cell_angle_alpha 90.00
_cell_angle_beta 90.00
_cell_angle_gamma 90.00
loop_
_symmetry_equiv_pos_as_xyz
'x,y,z'
'-x,-y,-z'
'-y+1/4,x+3/4,z+1/4'
'y+1/4,-x+3/4,-z+1/4'
'-x+1/2,-y,z+1/2'
'x+1/2,y,-z+1/2'
'y+1/4,-x+1/4,z+3/4'
'-y+1/4,x+1/4,-z+3/4'
'x,-y,-z'
'-x,y,z'
'-y+1/4,-x+1/4,-z+3/4'
'y+1/4,x+1/4,z+3/4'
'-x+1/2,y,-z+1/2'
'x+1/2,-y,z+1/2'
'y+1/4,x+3/4,-z+1/4'
'-y+1/4,-x+3/4,z+1/4'
'x+1/2,y+1/2,z+1/2'
'-x+1/2,-y+1/2,-z+1/2'
'-y+3/4,x+1/4,z+3/4'
'y+3/4,-x+1/4,-z+3/4'
'-x,-y+1/2,z'
'x,y+1/2,-z'
'y+3/4,-x+3/4,z+1/4'
'-y+3/4,x+3/4,-z+1/4'
'x+1/2,-y+1/2,-z+1/2'
'-x+1/2,y+1/2,z+1/2'
'-y+3/4,-x+3/4,-z+1/4'
'y+3/4,x+3/4,z+1/4'
'-x,y+1/2,-z'
'x,-y+1/2,z'
'y+3/4,x+1/4,-z+3/4'
'-y+3/4,-x+1/4,z+3/4'
loop_
_atom_site_label
_atom_site_fract_x
_atom_site_fract_y
_atom_site_fract_z
_atom_site_occupancy
Ta1 0.0000 0.0000 0.0000 1
Al1 0.0000 0.2500 0.3750 1
H1 0.0000 0.0600 0.7184 1
# Total energy ... -5.75 eV/atom
# V ... 276.8 Å³ per cell
# DOS at the Fermi energy ... 0.25 states/eV/atom

---

2.
# Ta4AlH | Alexandria via LeMat-Bulk | PBE-GGA | optimized geometry
data_Ta4AlH
_chemical_formula_sum 'Ta8 Al2 H2'
_symmetry_space_group_name_H-M 'P 1 21/c 1'
_symmetry_Int_Tables_number 14
_cell_length_a 6.8016
_cell_length_b 2.8752
_cell_length_c 10.2271
_cell_angle_alpha 90.00
_cell_angle_beta 107.62
_cell_angle_gamma 90.00
loop_
_symmetry_equiv_pos_as_xyz
'x,y,z'
'-x,-y,-z'
'-x,y+1/2,-z+1/2'
'x,-y+1/2,z+1/2'
loop_
_atom_site_label
_atom_site_fract_x
_atom_site_fract_y
_atom_site_fract_z
_atom_site_occupancy
Ta1 0.1406 0.0019 0.3671 1
Ta2 0.3157 0.5010 0.1768 1
Al1 0.5000 0.0000 0.0000 1
H1 0.0000 0.0000 0.5000 1
# Total energy ... -8.96 eV/atom
# V ... 190.6 Å³ per cell
# DOS at the Fermi energy ... 0.70 states/eV/atom

---

3.
# TaAl2H6 | Alexandria via LeMat-Bulk | PBE-GGA | optimized geometry
data_TaAl2H6
_chemical_formula_sum 'Ta4 Al8 H24'
_symmetry_space_group_name_H-M 'F m -3 m'
_symmetry_Int_Tables_number 225
_symmetry_space_group_name_Hall '-F 4 2 3'
_cell_length_a 6.6693
_cell_length_b 6.6693
_cell_length_c 6.6693
_cell_angle_alpha 90.00
_cell_angle_beta 90.00
_cell_angle_gamma 90.00
loop_
_atom_site_label
_atom_site_fract_x
_atom_site_fract_y
_atom_site_fract_z
_atom_site_occupancy
Ta1 0.0000 0.0000 0.0000 1
Al1 0.2500 0.2500 0.2500 1
H1 0.0000 0.0000 0.2746 1
# Total energy ... -4.21 eV/atom
# V ... 296.6 Å³ per cell
# DOS at the Fermi energy ... 0.19 states/eV/atom

---

4.
# Ta3AlH3 | Alexandria via LeMat-Bulk | PBE-GGA | optimized geometry
data_Ta3AlH3
_chemical_formula_sum 'Ta18 Al6 H18'
_symmetry_space_group_name_H-M 'R -3'
_symmetry_Int_Tables_number 148
_symmetry_space_group_name_Hall '-R 3'
_cell_length_a 5.2106
_cell_length_b 5.2106
_cell_length_c 21.8920
_cell_angle_alpha 90.00
_cell_angle_beta 90.00
_cell_angle_gamma 120.00
loop_
_atom_site_label
_atom_site_fract_x
_atom_site_fract_y
_atom_site_fract_z
_atom_site_occupancy
Ta1 0.0013 0.3341 0.2682 1
Al1 0.0000 0.0000 0.1665 1
H1 0.0006 0.3326 0.0258 1
# Total energy ... -6.94 eV/atom
# ΔE to the lowest computed polymorph ... 236 meV/atom
# V ... 514.7 Å³ per cell
# DOS at the Fermi energy ... 0.54 states/eV/atom

---

5.
# TaAl2H | Alexandria via LeMat-Bulk | PBE-GGA | optimized geometry
data_TaAl2H
_chemical_formula_sum 'Ta4 Al8 H4'
_symmetry_space_group_name_H-M 'F m -3 m'
_symmetry_Int_Tables_number 225
_symmetry_space_group_name_Hall '-F 4 2 3'
_cell_length_a 6.2507
_cell_length_b 6.2507
_cell_length_c 6.2507
_cell_angle_alpha 90.00
_cell_angle_beta 90.00
_cell_angle_gamma 90.00
loop_
_atom_site_label
_atom_site_fract_x
_atom_site_fract_y
_atom_site_fract_z
_atom_site_occupancy
Ta1 0.0000 0.0000 0.0000 1
Al1 0.2500 0.2500 0.2500 1
H1 0.0000 0.0000 0.5000 1
# Total energy ... -4.86 eV/atom
# ΔE to the lowest computed polymorph ... 601 meV/atom
# V ... 244.2 Å³ per cell
# DOS at the Fermi energy ... 0.39 states/eV/atom

---

6.
# Ta2AlH | Alexandria via LeMat-Bulk | PBE-GGA | optimized geometry
data_Ta2AlH
_chemical_formula_sum 'Ta2 Al1 H1'
_symmetry_space_group_name_H-M 'P 1'
_symmetry_Int_Tables_number 1
_cell_length_a 2.8513
_cell_length_b 4.7795
_cell_length_c 4.7963
_cell_angle_alpha 113.13
_cell_angle_beta 101.51
_cell_angle_gamma 101.22
loop_
_symmetry_equiv_pos_as_xyz
'x,y,z'
loop_
_atom_site_label
_atom_site_fract_x
_atom_site_fract_y
_atom_site_fract_z
_atom_site_occupancy
Ta1 0.0000 0.0000 0.0000 1
Ta2 0.0005 0.3622 0.6362 1
Al1 0.5020 0.6805 0.3175 1
H1 0.4992 0.1787 0.8157 1
# Total energy ... -7.74 eV/atom
# ΔE to the lowest computed polymorph ... 107 meV/atom
# V ... 56.1 Å³ per cell
# DOS at the Fermi energy ... 0.51 states/eV/atom

---

7.
# Ta4AlH2 | Alexandria via LeMat-Bulk | PBE-GGA | optimized geometry
data_Ta4AlH2
_chemical_formula_sum 'Ta16 Al4 H8'
_symmetry_space_group_name_H-M 'C m c m'
_symmetry_Int_Tables_number 63
_symmetry_space_group_name_Hall '-C 2c 2'
_cell_length_a 3.4154
_cell_length_b 10.6799
_cell_length_c 10.2503
_cell_angle_alpha 90.00
_cell_angle_beta 90.00
_cell_angle_gamma 90.00
loop_
_atom_site_label
_atom_site_fract_x
_atom_site_fract_y
_atom_site_fract_z
_atom_site_occupancy
Ta1 0.0000 0.0000 0.0000 1
Ta2 0.0000 0.2962 0.0980 1
Ta3 0.0000 0.3777 0.7500 1
Al1 0.0000 0.0818 0.7500 1
H1 0.0000 0.4114 0.5518 1
# Total energy ... -8.36 eV/atom
# ΔE to the lowest computed polymorph ... 0 meV/atom
# V ... 373.9 Å³ per cell
# DOS at the Fermi energy ... 0.31 states/eV/atom

---

8.
# Ta3AlH3 | Alexandria via LeMat-Bulk | PBE-GGA | optimized geometry
data_Ta3AlH3
_chemical_formula_sum 'Ta6 Al2 H6'
_symmetry_space_group_name_H-M 'P 63/m'
_symmetry_Int_Tables_number 176
_symmetry_space_group_name_Hall '-P 6c'
_cell_length_a 8.1098
_cell_length_b 8.1098
_cell_length_c 2.8966
_cell_angle_alpha 90.00
_cell_angle_beta 90.00
_cell_angle_gamma 120.00
loop_
_atom_site_label
_atom_site_fract_x
_atom_site_fract_y
_atom_site_fract_z
_atom_site_occupancy
Ta1 0.0307 0.3545 0.2500 1
Al1 0.3333 0.6667 0.7500 1
H1 0.0789 0.2243 0.7500 1
# Total energy ... -7.17 eV/atom
# ΔE to the lowest computed polymorph ... 0 meV/atom
# V ... 165.0 Å³ per cell
# DOS at the Fermi energy ... 0.41 states/eV/atom

---

9.
# Ta4AlH2 | Alexandria via LeMat-Bulk | PBE-GGA | optimized geometry
data_Ta4AlH2
_chemical_formula_sum 'Ta4 Al1 H2'
_symmetry_space_group_name_H-M 'P 1 2/m 1'
_symmetry_Int_Tables_number 10
_cell_length_a 5.0113
_cell_length_b 2.8027
_cell_length_c 7.3078
_cell_angle_alpha 90.00
_cell_angle_beta 110.05
_cell_angle_gamma 90.00
loop_
_symmetry_equiv_pos_as_xyz
'x,y,z'
'-x,-y,-z'
'-x,y,-z'
'x,-y,z'
loop_
_atom_site_label
_atom_site_fract_x
_atom_site_fract_y
_atom_site_fract_z
_atom_site_occupancy
Ta1 0.0845 0.0000 0.2128 1
Ta2 0.3110 0.5000 0.6180 1
Al1 0.5000 0.0000 0.0000 1
H1 0.3267 0.5000 0.1770 1
# Total energy ... -8.17 eV/atom
# ΔE to the lowest computed polymorph ... 183 meV/atom
# V ... 96.4 Å³ per cell
# DOS at the Fermi energy ... 0.58 states/eV/atom

---

10.
# TaAl2H | Alexandria via LeMat-Bulk | PBE-GGA | optimized geometry
data_TaAl2H
_chemical_formula_sum 'Ta4 Al8 H4'
_symmetry_space_group_name_H-M 'I -4 2 d'
_symmetry_Int_Tables_number 122
_symmetry_space_group_name_Hall 'I -4 2bw'
_cell_length_a 5.5215
_cell_length_b 5.5215
_cell_length_c 6.9928
_cell_angle_alpha 90.00
_cell_angle_beta 90.00
_cell_angle_gamma 90.00
loop_
_atom_site_label
_atom_site_fract_x
_atom_site_fract_y
_atom_site_fract_z
_atom_site_occupancy
Ta1 0.0000 0.0000 0.0000 1
Al1 0.0971 0.7500 0.6250 1
H1 0.0000 0.0000 0.5000 1
# Total energy ... -5.46 eV/atom
# ΔE to the lowest computed polymorph ... 0 meV/atom
# V ... 213.2 Å³ per cell
# DOS at the Fermi energy ... 0.45 states/eV/atom

---

11.
# Ta4Al2H | Alexandria via LeMat-Bulk | PBE-GGA | optimized geometry
data_Ta4Al2H
_chemical_formula_sum 'Ta8 Al4 H2'
_symmetry_space_group_name_H-M 'I 4/m m m'
_symmetry_Int_Tables_number 139
_symmetry_space_group_name_Hall '-I 4 2'
_cell_length_a 3.8524
_cell_length_b 3.8524
_cell_length_c 14.7010
_cell_angle_alpha 90.00
_cell_angle_beta 90.00
_cell_angle_gamma 90.00
loop_
_atom_site_label
_atom_site_fract_x
_atom_site_fract_y
_atom_site_fract_z
_atom_site_occupancy
Ta1 0.0000 0.0000 0.1810 1
Ta2 0.0000 0.5000 0.0000 1
Al1 0.0000 0.0000 0.3622 1
H1 0.0000 0.0000 0.0000 1
# Total energy ... -8.36 eV/atom
# V ... 218.2 Å³ per cell
# DOS at the Fermi energy ... 0.44 states/eV/atom

---

12.
# TaAlTc2H | Alexandria via LeMat-Bulk | PBE-GGA | optimized geometry
data_TaAlTc2H
_chemical_formula_sum 'Ta1 Al1 Tc2 H1'
_symmetry_space_group_name_H-M 'P 4/m m m'
_symmetry_Int_Tables_number 123
_symmetry_space_group_name_Hall '-P 4 2'
_cell_length_a 4.1509
_cell_length_b 4.1509
_cell_length_c 3.7237
_cell_angle_alpha 90.00
_cell_angle_beta 90.00
_cell_angle_gamma 90.00
loop_
_atom_site_label
_atom_site_fract_x
_atom_site_fract_y
_atom_site_fract_z
_atom_site_occupancy
Ta1 0.0000 0.0000 0.0000 1
Al1 0.5000 0.5000 0.0000 1
Tc1 0.0000 0.5000 0.5000 1
H1 0.0000 0.0000 0.5000 1
# Total energy ... -8.08 eV/atom
# V ... 64.2 Å³ per cell
# DOS at the Fermi energy ... 0.79 states/eV/atom

---

Number 1: theoretical density 9429 kg/m³. Number 2: theoretical density 13098 kg/m³. Number 3: theoretical density 5395 kg/m³. Number 4: theoretical density 11088 kg/m³. Number 5: theoretical density 6416 kg/m³. Number 6: theoretical density 11534 kg/m³. Number 7: theoretical density 13373 kg/m³. Number 8: theoretical density 11531 kg/m³. Number 9: theoretical density 12965 kg/m³. Number 10: theoretical density 7350 kg/m³. Number 11: theoretical density 11854 kg/m³. Number 12: theoretical density 10480 kg/m³.